Density functional theory data (PBE) for Be2Nb2MoOs5 after structural relaxation.

Values from the calculation:
Symmetry: P4/mbm
Formation enthalpy at 0 K (meV/atom): -223

Cell lengths 3.131, 9.446, 9.446 Å; angles 90.00, 90.00, 90.00 degrees
Fractional positions:
Be: 0.000 0.121 0.621
Be: 0.000 0.879 0.379
Be: 0.000 0.621 0.879
Be: 0.000 0.379 0.121
Nb: 0.000 0.675 0.175
Nb: 0.000 0.325 0.825
Nb: 0.000 0.175 0.325
Nb: 0.000 0.825 0.675
Mo: 0.000 0.000 0.000
Mo: 0.000 0.500 0.500
Os: 0.500 0.211 0.072
Os: 0.500 0.789 0.928
Os: 0.500 0.072 0.789
Os: 0.500 0.711 0.428
Os: 0.500 0.928 0.211
Os: 0.500 0.289 0.572
Os: 0.500 0.572 0.711
Os: 0.500 0.428 0.289
Os: 0.500 0.500 0.000
Os: 0.500 0.000 0.500


Density functional theory data (PBE) for Er2RhPb after structural relaxation.

Values from the calculation:
Distance to the lowest polymorph of the same formula (kJ/mol of formula units): 0
Symmetry: P4/mmm
Formation enthalpy at 0 K (meV/atom): -703

Cell lengths 3.463, 3.463, 7.951 Å; angles 90.00, 90.00, 90.00 degrees
Fractional positions:
Pb: 0.500 0.500 0.500
Rh: 0.500 0.500 0.000
Er: 0.000 0.000 0.794
Er: 0.000 0.000 0.206


Density functional theory data (PBE) for PrAl6Cu2 after structural relaxation.

Values from the calculation:
Symmetry: Fd-3m
Formation enthalpy at 0 K (meV/atom): 227

Cell lengths 8.232, 8.232, 8.232 Å; angles 60.00, 60.00, 60.00 degrees
Fractional positions:
Pr: 0.500 0.500 0.500
Pr: 0.750 0.750 0.750
Al: 0.230 0.230 0.770
Al: 0.770 0.770 0.230
Al: 0.230 0.770 0.230
Al: 0.230 0.770 0.770
Al: 0.480 0.480 0.020
Al: 0.480 0.020 0.020
Al: 0.770 0.230 0.770
Al: 0.020 0.020 0.480
Al: 0.480 0.020 0.480
Al: 0.020 0.480 0.480
Al: 0.770 0.230 0.230
Al: 0.020 0.480 0.020
Cu: 0.125 0.125 0.125
Cu: 0.125 0.625 0.125
Cu: 0.125 0.125 0.625
Cu: 0.625 0.125 0.125


Q: What is the formation enthalpy at 0 K in the second record?
A: -703 meV/atom


Q: Among the records above, which one has the lowest formation enthalpy at 0 K?
A: Er2RhPb


Please write out number 2 again, unchanged.
Density functional theory data (PBE) for Er2RhPb after structural relaxation.

Values from the calculation:
Distance to the lowest polymorph of the same formula (kJ/mol of formula units): 0
Symmetry: P4/mmm
Formation enthalpy at 0 K (meV/atom): -703

Cell lengths 3.463, 3.463, 7.951 Å; angles 90.00, 90.00, 90.00 degrees
Fractional positions:
Pb: 0.500 0.500 0.500
Rh: 0.500 0.500 0.000
Er: 0.000 0.000 0.794
Er: 0.000 0.000 0.206


Q: Which value of formation enthalpy at 0 K does entry 3 give?
A: 227 meV/atom